VASP calculation (PBE with a Hubbard U) on an optimized crystal structure of CrInSbF6.

Lattice parameters (Å, degrees): 6.440 5.773 5.039 89.93 89.36 60.27
Last column: magnetic moment on the atom in μB.
Atoms (fractional coordinates):
Cr: 0.663 0.651 0.493  3.80
F: 0.927 0.667 0.689  -0.01
F: 0.568 0.018 0.323  0.00
Sb: 0.316 0.346 0.552  0.01
F: 0.730 0.320 0.682  0.00
F: 0.425 0.583 0.288  0.00
F: 0.288 0.020 0.697  0.01
In: 0.978 0.013 0.024  0.00
F: 0.104 0.381 0.253  0.01

Calculated values
- magnetic moment (μB per cell) = 4.00
- space group = P1 (1)
- D(E_F) (states/eV per atom) = 0.0000
- DFT total energy (eV/atom) = -5.09